No. 1
This record from the Alexandria database describes a PBEsol-optimized structure of BeZnGaGe2. The functional is SCAN.

The calculation puts the density of states at the Fermi level at 2.05 states/eV/f.u. As for the energy relative to the elements: 0.53 eV/atom.

It has space group P4/mmm (No. 123), with a = 4.439 Å, b = 4.439 Å, c = 4.491 Å, α = 90.00°, β = 90.00° and γ = 90.00°. The distinct sites, in fractional coordinates, are Be at (0.000, 0.000, 0.000), Zn at (0.500, 0.500, 0.500), Ga at (0.000, 0.000, 0.500) and Ge at (0.000, 0.500, 0.000).

No. 2
This record from the Alexandria database describes a PBEsol-optimized structure of TlSnSN2. The functional is SCAN.

The value obtained for the uncorrected formation energy is 1527 meV/atom. The calculation puts the density of states at the Fermi level at 1.82 states/eV/f.u.

It has space group P4/mmm (No. 123), with a = 4.288 Å, b = 4.288 Å, c = 5.376 Å, α = 90.00°, β = 90.00° and γ = 90.00°. The distinct sites, in fractional coordinates, are Tl at (0.000, 0.000, 0.000), Sn at (0.500, 0.500, 0.500), S at (0.000, 0.000, 0.500) and N at (0.000, 0.500, 0.000).

No. 3
This record from the Alexandria database describes a PBEsol-optimized structure of Cu2AsC. The functional is SCAN.

The calculation puts the density of states at the Fermi level at 0.79 states/eV/f.u. As for the energy relative to the elements: 1.22 eV/atom.

It has space group Fm-3m (No. 225), with a = 5.738 Å, b = 5.738 Å, c = 5.738 Å, α = 90.00°, β = 90.00° and γ = 90.00°. The distinct sites, in fractional coordinates, are Cu at (0.250, 0.250, 0.250), As at (0.000, 0.000, 0.000) and C at (0.000, 0.000, 0.500).

No. 4
This record from the Alexandria database describes a PBEsol-optimized structure of HfRhSN2. The functional is SCAN.

The value obtained for the uncorrected formation energy is 515 meV/atom. The calculation puts the density of states at the Fermi level at 4.65 states/eV/f.u.

It has space group P4/mmm (No. 123), with a = 3.818 Å, b = 3.818 Å, c = 4.539 Å, α = 90.00°, β = 90.00° and γ = 90.00°. The distinct sites, in fractional coordinates, are Hf at (0.000, 0.000, 0.000), Rh at (0.500, 0.500, 0.500), S at (0.500, 0.500, 0.000) and N at (0.000, 0.500, 0.500).

No. 5
This record from the Alexandria database describes a PBEsol-optimized structure of TlSiPb. The functional is SCAN.

The energy relative to the lowest polymorph listed for this composition is 0.00 eV/f.u. The value obtained for the uncorrected formation energy is 442 meV/atom. The calculation puts the density of states at the Fermi level at 1.12 states/eV/f.u.

It has space group Fmm2 (No. 42), with a = 4.921 Å, b = 4.936 Å, c = 12.302 Å, α = 90.00°, β = 90.00° and γ = 90.00°. The distinct sites, in fractional coordinates, are Tl at (0.000, 0.000, 0.000), Si at (0.000, 0.000, 0.350) and Pb at (0.000, 0.000, 0.708).

No. 6
This record from the Alexandria database describes a PBEsol-optimized structure of SrAg3Ge. The functional is SCAN.

The calculation puts the density of states at the Fermi level at 2.54 states/eV/f.u. As for the energy relative to the elements: 1.32 eV/atom.

It has space group Pm-3m (No. 221), with a = 5.409 Å, b = 5.409 Å, c = 5.409 Å, α = 90.00°, β = 90.00° and γ = 90.00°. The distinct sites, in fractional coordinates, are Sr at (0.000, 0.000, 0.000), Ag at (0.000, 0.000, 0.500) and Ge at (0.500, 0.500, 0.500).

No. 7
This record from the Alexandria database describes a PBEsol-optimized structure of LaHgBr. The functional is SCAN.

The value obtained for the uncorrected formation energy is -867 meV/atom. The calculation puts the density of states at the Fermi level at 3.24 states/eV/f.u.

It has space group F-43m (No. 216), with a = 7.186 Å, b = 7.186 Å, c = 7.186 Å, α = 90.00°, β = 90.00° and γ = 90.00°. The distinct sites, in fractional coordinates, are La at (0.000, 0.000, 0.000), Hg at (0.250, 0.250, 0.750) and Br at (0.250, 0.250, 0.250).

No. 8
This record from the Alexandria database describes a PBEsol-optimized structure of KCaSb2. The functional is SCAN.

The energy relative to the lowest polymorph listed for this composition is 1.07 eV/f.u. The value obtained for the uncorrected formation energy is -427 meV/atom. The calculation puts the density of states at the Fermi level at 1.72 states/eV/f.u.

It has space group I-42d (No. 122), with a = 5.584 Å, b = 5.584 Å, c = 20.595 Å, α = 90.00°, β = 90.00° and γ = 90.00°. The distinct sites, in fractional coordinates, are K at (0.000, 0.000, 0.000), Ca at (0.000, 0.000, 0.500) and Sb at (0.126, 0.250, 0.625).

Question: What is the formula in the third record?
Answer: Cu2AsC